(1)
# PBE Sr2Li6CdRh, relaxed
data_Sr2Li6CdRh
_symmetry_space_group_name_H-M 'I m m m'
_symmetry_Int_Tables_number 71
_symmetry_space_group_name_Hall '-I 2 2'
_cell_length_a 7.022
_cell_length_b 7.243
_cell_length_c 10.069
_cell_angle_alpha 90.00
_cell_angle_beta 90.00
_cell_angle_gamma 90.00
loop_
_atom_site_label
_atom_site_type_symbol
_atom_site_fract_x
_atom_site_fract_y
_atom_site_fract_z
Sr1 Sr 0.000 0.000 0.249
Li1 Li 0.000 0.500 0.263
Li2 Li 0.237 0.264 0.500
Cd1 Cd 0.000 0.500 0.000
Rh1 Rh 0.000 0.500 0.500
# Calculated formation energy in eV/atom: -0.01
# Volume in Å³/f.u.: 256.1

---

(2)
# PBE W2CBr, relaxed
data_W2CBr
_symmetry_space_group_name_H-M 'F m -3 m'
_symmetry_Int_Tables_number 225
_symmetry_space_group_name_Hall '-F 4 2 3'
_cell_length_a 5.974
_cell_length_b 5.974
_cell_length_c 5.974
_cell_angle_alpha 90.00
_cell_angle_beta 90.00
_cell_angle_gamma 90.00
loop_
_atom_site_label
_atom_site_type_symbol
_atom_site_fract_x
_atom_site_fract_y
_atom_site_fract_z
W1 W 0.250 0.250 0.250
C1 C 0.000 0.000 0.000
Br1 Br 0.000 0.000 0.500
# Energy in hartree per atom: -0.277
# Volume in Å³/f.u.: 53.3